# Tl4Ga PBE optimized geometry
data_Tl4Ga
_cell_length_a 5.569
_cell_length_b 5.569
_cell_length_c 5.569
_cell_angle_alpha 90.00
_cell_angle_beta 90.00
_cell_angle_gamma 90.00
_space_group_name_H-M_alt 'P 1'
_space_group_IT_number 1
loop_
_space_group_symop_operation_xyz
'x,y,z'
loop_
_atom_site_label
_atom_site_type_symbol
_atom_site_fract_x
_atom_site_fract_y
_atom_site_fract_z
_atom_site_occupancy
Ga1 Ga 0.500 0.500 0.500 1
Tl1 Tl 0.000 0.500 0.500 1
Tl2 Tl 0.500 0.000 0.500 1
Tl3 Tl 0.500 0.500 0.000 1
Tl4 Tl 0.000 0.000 0.000 1
# Excess energy over the best structure of this formula in the dataset   3.87 kcal/mol of atoms
# DOS at the Fermi energy   4.1 states/eV per cell
# Calculated formation energy   1.11 eV per formula unit